## Pm4PrPt2 (PBE)

Data for a relaxed Pm4PrPt2 crystal.

Computed properties:
The formation energy from the elements is -630 meV/atom. The volume comes out at 29.752 Å³ per atom. The offset from the most stable computed form comes out at 0 kJ/mol of formula units. As for the total energy: -5.753 eV per atom. As for the density of states at the Fermi level: 7.97 states/eV/f.u.

```
Pm4PrPt2
1.0
7.690 1.348 -0.243
0.881 6.737 -0.156
-4.762 -3.940 8.440
Pm Pt Pr
8 4 2
Direct
0.887 0.492 0.107
0.910 0.164 0.720
0.441 0.880 0.988
0.962 0.083 0.389
0.440 0.202 0.767
0.415 0.142 0.351
0.324 0.531 0.117
0.674 0.621 0.535
0.102 0.531 0.768
0.714 0.775 0.327
0.678 0.252 0.138
0.616 0.550 0.775
0.171 0.621 0.546
0.915 0.904 0.971
```



## PmPr2Pt2 (PBE)

Data for a relaxed PmPr2Pt2 crystal.

Computed properties:
The formation energy from the elements is -913 meV/atom. The volume comes out at 26.304 Å³ per atom. The offset from the most stable computed form comes out at 0 kJ/mol of formula units. As for the total energy: -6.192 eV per atom. As for the density of states at the Fermi level: 4.08 states/eV/f.u.

```
PmPr2Pt2
1.0
4.106 0.000 0.000
0.000 8.004 0.000
0.000 0.000 8.004
Pt Pr Pm
4 4 2
Direct
0.000 0.866 0.634
0.000 0.634 0.134
0.000 0.366 0.866
0.000 0.134 0.366
0.500 0.836 0.336
0.500 0.664 0.836
0.500 0.164 0.664
0.500 0.336 0.164
0.000 0.000 0.000
0.000 0.500 0.500
```



## PmPr3Pt3 (PBE)

Data for a relaxed PmPr3Pt3 crystal.

Computed properties:
The formation energy from the elements is -878 meV/atom. The volume comes out at 27.228 Å³ per atom. As for the total energy: -6.194 eV per atom. As for the density of states at the Fermi level: 5.73 states/eV/f.u.

```
PmPr3Pt3
1.0
-0.807 -7.173 0.375
0.847 0.472 -7.163
7.271 -0.707 0.878
Pr Pt Pm
6 6 2
Direct
0.823 0.177 0.500
0.248 0.752 0.000
0.177 0.823 0.500
0.752 0.248 0.000
0.335 0.335 0.624
0.665 0.665 0.376
0.021 0.495 0.283
0.495 0.021 0.283
0.060 0.060 0.809
0.979 0.505 0.717
0.505 0.979 0.717
0.940 0.940 0.191
0.745 0.745 0.879
0.255 0.255 0.121
```



## PmPrPt (PBE)

Data for a relaxed PmPrPt crystal.

Computed properties:
The formation energy from the elements is -603 meV/atom. The volume comes out at 28.212 Å³ per atom. The offset from the most stable computed form comes out at 37 kJ/mol of formula units. As for the total energy: -5.793 eV per atom. As for the density of states at the Fermi level: 3.62 states/eV/f.u.

```
PmPrPt
1.0
-0.175 1.701 -4.028
-1.824 -4.044 -1.628
-2.860 3.419 1.569
Pr Pt Pm
1 1 1
Direct
0.725 0.667 0.333
0.016 0.000 0.000
0.260 0.333 0.667
```



## Pm2PrPt2 (PBE)

Data for a relaxed Pm2PrPt2 crystal.

Computed properties:
The formation energy from the elements is -856 meV/atom. The volume comes out at 27.453 Å³ per atom. The offset from the most stable computed form comes out at 35 kJ/mol of formula units. As for the total energy: -6.129 eV per atom. As for the density of states at the Fermi level: 4.25 states/eV/f.u.

```
Pm2PrPt2
1.0
-2.967 1.480 2.243
0.647 -5.943 4.775
7.453 3.831 3.758
Pm Pr Pt
4 2 4
Direct
0.030 0.248 0.061
0.970 0.748 0.939
0.187 0.524 0.374
0.813 0.024 0.626
0.372 0.411 0.744
0.628 0.911 0.256
0.198 0.141 0.396
0.552 0.541 0.104
0.448 0.041 0.896
0.802 0.641 0.604
```



## PmPrPt (PBE)

Data for a relaxed PmPrPt crystal.

Computed properties:
The formation energy from the elements is -671 meV/atom. The volume comes out at 28.794 Å³ per atom. The offset from the most stable computed form comes out at 17 kJ/mol of formula units. As for the total energy: -5.861 eV per atom. As for the density of states at the Fermi level: 3.81 states/eV/f.u.

```
PmPrPt
1.0
3.636 0.000 0.000
0.000 3.636 0.000
-1.818 -1.818 6.535
Pm Pt Pr
1 1 1
Direct
0.295 0.295 0.590
0.672 0.672 0.345
0.033 0.033 0.065
```



What did the fourth record say?
## PmPrPt (PBE)

Data for a relaxed PmPrPt crystal.

Computed properties:
The formation energy from the elements is -603 meV/atom. The volume comes out at 28.212 Å³ per atom. The offset from the most stable computed form comes out at 37 kJ/mol of formula units. As for the total energy: -5.793 eV per atom. As for the density of states at the Fermi level: 3.62 states/eV/f.u.

```
PmPrPt
1.0
-0.175 1.701 -4.028
-1.824 -4.044 -1.628
-2.860 3.419 1.569
Pr Pt Pm
1 1 1
Direct
0.725 0.667 0.333
0.016 0.000 0.000
0.260 0.333 0.667
```



Look up the volume of the fifth one.
27.453 Å³ per atom